Tm3AlGa4: optimized geometry, GGA-PBE.

The structure in CIF format:
```
data_Tm3AlGa4
_chemical_formula_sum 'Tm6 Al2 Ga8'
_symmetry_space_group_name_H-M 'I m m m'
_symmetry_Int_Tables_number 71
_symmetry_space_group_name_Hall '-I 2 2'
_cell_length_a 3.5135
_cell_length_b 6.1807
_cell_length_c 16.5028
_cell_angle_alpha 90.00
_cell_angle_beta 90.00
_cell_angle_gamma 90.00
loop_
_atom_site_label
_atom_site_type_symbol
_atom_site_fract_x
_atom_site_fract_y
_atom_site_fract_z
Tm1 Tm 0.0000 0.0000 0.0000
Tm2 Tm 0.0000 0.5000 0.2137
Al1 Al 0.0000 0.0000 0.5000
Ga1 Ga 0.0000 0.2879 0.3766
```

DOS(E_F): 0.413 states/eV per atom
Energy of formation: -34 kJ per mole of atoms